(1)
Computed, not measured: RbCd2Te2O6 after structural relaxation at the PBE-GGA level of DFT.

CIF file:
```
data_RbCd2Te2O6
_chemical_formula_sum 'Rb1 Cd2 Te2 O6'
_symmetry_space_group_name_H-M 'P -1'
_symmetry_Int_Tables_number 2
_cell_length_a 5.847
_cell_length_b 6.361
_cell_length_c 7.722
_cell_angle_alpha 110.70
_cell_angle_beta 111.31
_cell_angle_gamma 90.34
loop_
_symmetry_equiv_pos_as_xyz
'x,y,z'
'-x,-y,-z'
loop_
_atom_site_label
_atom_site_type_symbol
_atom_site_fract_x
_atom_site_fract_y
_atom_site_fract_z
Rb1 Rb 0.000 0.000 0.000
Cd1 Cd 0.297 0.657 0.597
Te1 Te 0.286 0.146 0.575
O1 O 0.095 0.389 0.650
O2 O 0.387 0.036 0.790
O3 O 0.449 0.610 0.349
```

Output
energy	-4.4778	eV/atom
size of the total moment	0.00	μB/cell



(2)
Computed, not measured: Si2TeH after structural relaxation at the PBE-GGA level of DFT.

CIF file:
```
data_Si2TeH
_chemical_formula_sum 'Si8 Te4 H4'
_symmetry_space_group_name_H-M 'I -4 2 d'
_symmetry_Int_Tables_number 122
_symmetry_space_group_name_Hall 'I -4 2bw'
_cell_length_a 4.680
_cell_length_b 4.680
_cell_length_c 13.643
_cell_angle_alpha 90.00
_cell_angle_beta 90.00
_cell_angle_gamma 90.00
loop_
_atom_site_label
_atom_site_type_symbol
_atom_site_fract_x
_atom_site_fract_y
_atom_site_fract_z
Si1 Si 0.084 0.250 0.125
Te1 Te 0.000 0.000 0.500
H1 H 0.000 0.000 0.000
```

Output
ΔE to the lowest computed polymorph	0.000	eV per atom
size of the total moment	0.00	μB/cell



(3)
Computed, not measured: Ce5Sn2Hg after structural relaxation at the PBE-GGA level of DFT.

CIF file:
```
data_Ce5Sn2Hg
_chemical_formula_sum 'Ce20 Sn8 Hg4'
_symmetry_space_group_name_H-M 'C m c m'
_symmetry_Int_Tables_number 63
_symmetry_space_group_name_Hall '-C 2c 2'
_cell_length_a 5.382
_cell_length_b 11.299
_cell_length_c 14.578
_cell_angle_alpha 90.00
_cell_angle_beta 90.00
_cell_angle_gamma 90.00
loop_
_atom_site_label
_atom_site_type_symbol
_atom_site_fract_x
_atom_site_fract_y
_atom_site_fract_z
Ce1 Ce 0.000 0.027 0.250
Ce2 Ce 0.000 0.111 0.522
Ce3 Ce 0.000 0.419 0.567
Sn1 Sn 0.000 0.310 0.144
Hg1 Hg 0.000 0.272 0.750
```

Output
energy	-4.9517	eV/atom
size of the total moment	8.02	μB/cell



size of the total moment of number 2 (Si2TeH)?
0.00 μB/cell